(1)
Density functional theory data (GGA-PBE) for a geometry-optimized Zn2CdCuPd structure.

Summary:
- Calculated total energy: -2.15 eV per atom
- DOS at the Fermi energy: 2.1 states/eV/cell
- V: 117.5 Å³ per cell

Cell: 4.778 4.778 5.147 Å, 90.00 90.00 90.00°
Space group P4/mmm (No. 123)
Symmetry-distinct sites (fractional):
1 Zn 0.000 0.500 0.000 (multiplicity 2)
2 Cd 0.000 0.000 0.500 (multiplicity 1)
3 Cu 0.500 0.500 0.500 (multiplicity 1)
4 Pd 0.000 0.000 0.000 (multiplicity 1)

***

(2)
Density functional theory data (GGA-PBE) for a geometry-optimized GaTe2Br structure.

Summary:
- DOS at the Fermi energy: 11.4 states/eV/cell
- Formation energy (no corrections): 0.2401 eV/atom
- V: 321.4 Å³ per cell
- E above lowest polymorph: 2.34 eV per formula unit

Cell: 3.3954 3.3954 32.1924 Å, 90.00 90.00 120.00°
Space group R-3m (No. 166, hexagonal axes)
Symmetry-distinct sites (fractional):
1 Ga 0.0000 0.0000 0.0000 (multiplicity 3)
2 Te 0.0000 0.0000 0.0837 (multiplicity 6)
3 Br 0.0000 0.0000 0.5000 (multiplicity 3)

***

(3)
Density functional theory data (GGA-PBE) for a geometry-optimized GdYZnOs structure.

Summary:
- Calculated total energy: -8.51 eV per atom
- DOS at the Fermi energy: 12.7 states/eV/cell
- V: 340.5 Å³ per cell

Cell: 6.983 6.983 6.983 Å, 90.00 90.00 90.00°
Space group F-43m (No. 216)
Symmetry-distinct sites (fractional):
1 Gd 0.000 0.000 0.000 (multiplicity 4)
2 Y 0.000 0.000 0.500 (multiplicity 4)
3 Zn 0.250 0.250 0.250 (multiplicity 4)
4 Os 0.250 0.250 0.750 (multiplicity 4)

***

(4)
Density functional theory data (GGA-PBE) for a geometry-optimized HfP2Br structure.

Summary:
- DOS at the Fermi energy: 9.8 states/eV/cell
- Formation energy (no corrections): 0.2597 eV/atom
- V: 468.4 Å³ per cell
- E above lowest polymorph: 0.00 eV per formula unit

Cell: 5.804 5.804 13.907 Å, 90.00 90.00 90.00°
Space group I-42d (No. 122)
Symmetry-distinct sites (fractional):
1 Hf 0.000 0.000 0.000 (multiplicity 4)
2 P 0.175 0.250 0.125 (multiplicity 8)
3 Br 0.000 0.000 0.500 (multiplicity 4)

***

(5)
Density functional theory data (GGA-PBE) for a geometry-optimized RbWN2 structure.

Summary:
- DOS at the Fermi energy: 11.8 states/eV/cell
- Formation energy (no corrections): 0.1682 eV/atom
- V: 189.4 Å³ per cell
- E above lowest polymorph: 2.39 eV per formula unit

Cell: 3.1554 3.1554 21.9708 Å, 90.00 90.00 120.00°
Space group R-3m (No. 166, hexagonal axes)
Symmetry-distinct sites (fractional):
1 Rb 0.0000 0.0000 0.0000 (multiplicity 3)
2 W 0.0000 0.0000 0.5000 (multiplicity 3)
3 N 0.0000 0.0000 0.1191 (multiplicity 6)

***

(6)
Density functional theory data (GGA-PBE) for a geometry-optimized NaPuInGa structure.

Summary:
- Calculated total energy: -5.42 eV per atom
- DOS at the Fermi energy: 42.5 states/eV/cell
- V: 394.8 Å³ per cell

Cell: 7.336 7.336 7.336 Å, 90.00 90.00 90.00°
Space group F-43m (No. 216)
Symmetry-distinct sites (fractional):
1 Na 0.000 0.000 0.000 (multiplicity 4)
2 Pu 0.000 0.000 0.500 (multiplicity 4)
3 In 0.250 0.250 0.250 (multiplicity 4)
4 Ga 0.250 0.250 0.750 (multiplicity 4)

***

(7)
Density functional theory data (GGA-PBE) for a geometry-optimized NaSiPdO4 structure.

Summary:
- DOS at the Fermi energy: 11.5 states/eV/cell
- Formation energy (no corrections): -1.4891 eV/atom
- V: 355.3 Å³ per cell

Cell: 6.033 9.020 6.529 Å, 90.00 90.00 90.00°
Space group Cmcm (No. 63)
Symmetry-distinct sites (fractional):
1 Na 0.000 0.000 0.000 (multiplicity 4)
2 Si 0.000 0.382 0.250 (multiplicity 4)
3 Pd 0.000 0.310 0.750 (multiplicity 4)
4 O 0.000 0.271 0.049 (multiplicity 8)
5 O 0.215 0.495 0.250 (multiplicity 8)

***

(8)
Density functional theory data (GGA-PBE) for a geometry-optimized BaSmHo2 structure.

Summary:
- DOS at the Fermi energy: 18.2 states/eV/cell
- V: 437.3 Å³ per cell
- E above lowest polymorph: 0.29 eV per formula unit

Cell: 3.6153 3.6153 38.6356 Å, 90.00 90.00 120.00°
Space group R-3m (No. 166, hexagonal axes)
Symmetry-distinct sites (fractional):
1 Ba 0.0000 0.0000 0.0000 (multiplicity 3)
2 Sm 0.0000 0.0000 0.5000 (multiplicity 3)
3 Ho 0.0000 0.0000 0.0933 (multiplicity 6)

***

Q: Which value of V does entry 3 give?
A: 340.5 Å³ per cell